# 1
# La4CoI2

A geometry-optimized La4CoI2 structure (GGA-PBE, Alexandria).

Calculated total energy: -4.7643 eV per atom
Formation energy (no corrections): -3.4 eV/f.u.
Spin magnetization: 0.000 μB per cell

The structure in CIF format:
```
data_La4CoI2
_cell_length_a 5.003
_cell_length_b 5.003
_cell_length_c 17.935
_cell_angle_alpha 90.00
_cell_angle_beta 90.00
_cell_angle_gamma 90.00
_symmetry_space_group_name_H-M 'I 4/m m m'
_symmetry_Int_Tables_number 139
_symmetry_space_group_name_Hall '-I 4 2'
loop_
_atom_site_label
_atom_site_type_symbol
_atom_site_fract_x
_atom_site_fract_y
_atom_site_fract_z
_atom_site_occupancy
La1 La 0.000 0.000 0.173 1
La2 La 0.000 0.500 0.000 1
Co1 Co 0.000 0.000 0.000 1
I1 I 0.000 0.000 0.362 1
```

=====

# 2
# SmNi6As4

A geometry-optimized SmNi6As4 structure (GGA-PBE, Alexandria).

Calculated total energy: -5.7483 eV per atom
Spin magnetization: 0.000 μB per cell
Formation enthalpy at 0 K: -0.48 eV/atom

The structure in CIF format:
```
data_SmNi6As4
_cell_length_a 6.8795
_cell_length_b 6.8795
_cell_length_c 3.8129
_cell_angle_alpha 90.00
_cell_angle_beta 90.00
_cell_angle_gamma 120.00
_symmetry_space_group_name_H-M 'P -6 m 2'
_symmetry_Int_Tables_number 187
_symmetry_space_group_name_Hall 'P -6 2'
loop_
_atom_site_label
_atom_site_type_symbol
_atom_site_fract_x
_atom_site_fract_y
_atom_site_fract_z
_atom_site_occupancy
Sm1 Sm 0.0000 0.0000 0.0000 1
Ni1 Ni 0.2049 0.4097 0.5000 1
Ni2 Ni 0.5382 0.0763 0.0000 1
As1 As 0.3333 0.6667 0.0000 1
As2 As 0.3786 0.1893 0.5000 1
```

=====

# 3
# Mn2FeMo2

A geometry-optimized Mn2FeMo2 structure (GGA-PBE, Alexandria).

Calculated total energy: -8.8203 eV per atom
Spin magnetization: 0.006 μB per cell
Formation enthalpy at 0 K: 0.87 eV/atom

The structure in CIF format:
```
data_Mn2FeMo2
_cell_length_a 3.988
_cell_length_b 3.988
_cell_length_c 9.365
_cell_angle_alpha 90.00
_cell_angle_beta 90.00
_cell_angle_gamma 90.00
_symmetry_space_group_name_H-M 'I 4/m m m'
_symmetry_Int_Tables_number 139
_symmetry_space_group_name_Hall '-I 4 2'
loop_
_atom_site_label
_atom_site_type_symbol
_atom_site_fract_x
_atom_site_fract_y
_atom_site_fract_z
_atom_site_occupancy
Mn1 Mn 0.000 0.000 0.110 1
Fe1 Fe 0.000 0.000 0.500 1
Mo1 Mo 0.000 0.500 0.250 1
```

=====

# 4
# SiOs2Cl

A geometry-optimized SiOs2Cl structure (GGA-PBE, Alexandria).

Calculated total energy: -6.6514 eV per atom
Formation energy (no corrections): 3.1 eV/f.u.
Spin magnetization: 0.000 μB per cell

The structure in CIF format:
```
data_SiOs2Cl
_cell_length_a 2.782
_cell_length_b 4.119
_cell_length_c 5.183
_cell_angle_alpha 90.00
_cell_angle_beta 90.00
_cell_angle_gamma 90.00
_symmetry_space_group_name_H-M 'P m m m'
_symmetry_Int_Tables_number 47
loop_
_symmetry_equiv_pos_as_xyz
'x,y,z'
'-x,-y,-z'
'-x,-y,z'
'x,y,-z'
'x,-y,-z'
'-x,y,z'
'-x,y,-z'
'x,-y,z'
loop_
_atom_site_label
_atom_site_type_symbol
_atom_site_fract_x
_atom_site_fract_y
_atom_site_fract_z
_atom_site_occupancy
Si1 Si 0.000 0.000 0.000 1
Os1 Os 0.000 0.500 0.500 1
Os2 Os 0.500 0.500 0.000 1
Cl1 Cl 0.500 0.000 0.500 1
```